Density functional theory data (PBE+U) for an optimized crystal structure of Mo3WF.

abc: 5.289 5.289 5.289
angles: 90.00 90.00 90.00
Each line ends with the local moment (μB).
Fractional coordinates of all 5 atoms:
Mo 0.500 0.000 0.000  3.77
Mo 0.000 0.500 0.000  3.58
Mo 0.000 0.000 0.500  3.67
F 0.500 0.500 0.500  0.08
W 0.000 0.000 0.000  -2.73

distance to the lowest polymorph of the same formula	0.631	eV/atom



Density functional theory data (PBE+U) for an optimized crystal structure of MoWF3.

abc: 4.388 4.388 4.388
angles: 90.00 90.00 90.00
Each line ends with the local moment (μB).
Fractional coordinates of all 5 atoms:
F 0.000 0.000 0.500  0.07
F 0.000 0.500 0.000  0.09
F 0.500 0.000 0.000  0.09
W 0.500 0.500 0.500  4.18
Mo 0.000 0.000 0.000  3.06

distance to the lowest polymorph of the same formula	0.305	eV/atom